[1]
Density functional theory data (PBE) for a relaxed structure of GeOs.

Its total energy is -14.94 eV/f.u.

Cell and atoms, written as CIF:
```
data_GeOs
_chemical_formula_sum 'Ge2 Os2'
_space_group_name_H-M_alt 'P 1 21/m 1'
_space_group_IT_number 11
_space_group_name_Hall '-P 2yb'
_cell_length_a 2.7790
_cell_length_b 4.2516
_cell_length_c 6.3281
_cell_angle_alpha 90.00
_cell_angle_beta 101.31
_cell_angle_gamma 90.00
loop_
_atom_site_label
_atom_site_type_symbol
_atom_site_fract_x
_atom_site_fract_y
_atom_site_fract_z
Ge1 Ge 0.1103 0.2500 0.1977
Os1 Os 0.2184 0.7500 0.4288
```


[2]
Density functional theory data (PBE) for a relaxed structure of La2TbPr2Nd.

Its total energy is -28.48 eV/f.u.

Cell and atoms, written as CIF:
```
data_La2TbPr2Nd
_chemical_formula_sum 'La4 Tb2 Pr4 Nd2'
_space_group_name_H-M_alt 'P m c 21'
_space_group_IT_number 26
_space_group_name_Hall 'P 2c -2'
_cell_length_a 5.8599
_cell_length_b 10.1347
_cell_length_c 7.1780
_cell_angle_alpha 90.00
_cell_angle_beta 90.00
_cell_angle_gamma 90.00
loop_
_atom_site_label
_atom_site_type_symbol
_atom_site_fract_x
_atom_site_fract_y
_atom_site_fract_z
La1 La 0.0000 0.1641 0.0000
La2 La 0.5000 0.3306 0.4998
Tb1 Tb 0.5000 0.3359 0.9995
Pr1 Pr 0.0000 0.1713 0.5004
Pr2 Pr 0.5000 0.0002 0.2502
Nd1 Nd 0.0000 0.4998 0.2497
```


[3]
Density functional theory data (PBE) for a relaxed structure of CaFeHg.

Its total energy is -9.47 eV/f.u.

Cell and atoms, written as CIF:
```
data_CaFeHg
_chemical_formula_sum 'Ca1 Fe1 Hg1'
_space_group_name_H-M_alt 'P 3 m 1'
_space_group_IT_number 156
_space_group_name_Hall 'P 3 -2"'
_cell_length_a 3.4362
_cell_length_b 3.4362
_cell_length_c 6.7855
_cell_angle_alpha 90.00
_cell_angle_beta 90.00
_cell_angle_gamma 120.00
loop_
_atom_site_label
_atom_site_type_symbol
_atom_site_fract_x
_atom_site_fract_y
_atom_site_fract_z
Ca1 Ca 0.0000 0.0000 0.0000
Fe1 Fe 0.3333 0.6667 0.3357
Hg1 Hg 0.6667 0.3333 0.6248
```